TaCoSnAu after structural relaxation. Source: the Open Quantum Materials Database, functional PBE.

energy above the most stable polymorph in this dataset: 0.17 eV per formula unit
calculated volume: 16.95 A^3/atom
E_tot: -25.22 eV/cell
symmetry: F-43m (216)

Unit cell a=4.5773 b=4.5773 c=4.5773 alpha=60.00 beta=60.00 gamma=60.00
Closest atoms and distances in Å follow each position.
Fractional coordinates of all 4 atoms:
Ta1 0.0000 0.0000 0.0000  4 Sn 2.80, 4 Au 2.80
Co1 0.5000 0.5000 0.5000  4 Au 2.80, 4 Sn 2.80
Sn1 0.2500 0.2500 0.2500  4 Co 2.80, 4 Ta 2.80
Au1 0.7500 0.7500 0.7500  4 Co 2.80, 4 Ta 2.80